# Mg4HgSe GGA-PBE optimized geometry
data_Mg4HgSe
_chemical_formula_sum 'Mg16 Hg4 Se4'
_space_group_name_H-M_alt 'F -4 3 m'
_space_group_IT_number 216
_space_group_name_Hall 'F -4 2 3'
_cell_length_a 8.2083
_cell_length_b 8.2083
_cell_length_c 8.2083
_cell_angle_alpha 90.00
_cell_angle_beta 90.00
_cell_angle_gamma 90.00
loop_
_atom_site_label
_atom_site_type_symbol
_atom_site_fract_x
_atom_site_fract_y
_atom_site_fract_z
Mg1 Mg 0.1248 0.1248 0.1248
Hg1 Hg 0.0000 0.0000 0.5000
Se1 Se 0.2500 0.2500 0.7500
# crystal system: cubic
# Fermi-level density of states: 0.57 states/eV per atom
# formation energy without anion corrections: 0.002 eV/atom
# E: -1.692 eV per atom